PaNb2Tl3Se6 | PBE-GGA | relaxed

Unit cell a=6.246 b=11.492 c=8.552 alpha=90.00 beta=91.73 gamma=90.00
Space group C2/m (No. 12)
One atom of each set of equivalent atoms:
1 Pa 0.000 0.000 0.000 (multiplicity 2)
2 Nb 0.000 0.313 0.000 (multiplicity 4)
3 Tl 0.000 0.000 0.500 (multiplicity 2)
4 Tl 0.000 0.340 0.500 (multiplicity 4)
5 Se 0.132 0.500 0.817 (multiplicity 4)
6 Se 0.165 0.171 0.799 (multiplicity 8)

crystal system	monoclinic
E_tot	-133.984	eV for the cell shown

PaNbSi2 | PBE-GGA | relaxed

Unit cell a=3.857 b=3.860 c=10.033 alpha=90.00 beta=90.00 gamma=90.00
Space group Amm2 (No. 38)
One atom of each set of equivalent atoms:
1 Pa 0.000 0.000 0.000 (multiplicity 2)
2 Nb 0.500 0.000 0.289 (multiplicity 2)
3 Si 0.000 0.000 0.722 (multiplicity 2)
4 Si 0.500 0.000 0.571 (multiplicity 2)

crystal system	orthorhombic
E_tot	-64.053	eV for the cell shown

PaNbSi2 | PBE-GGA | relaxed

Unit cell a=4.3792 b=4.3792 c=13.7358 alpha=90.00 beta=90.00 gamma=120.00
Space group R-3m (No. 166, hexagonal axes)
One atom of each set of equivalent atoms:
1 Pa 0.0000 0.0000 0.0000 (multiplicity 3)
2 Nb 0.0000 0.0000 0.5000 (multiplicity 3)
3 Si 0.0000 0.0000 0.2281 (multiplicity 6)

crystal system	trigonal
E_tot	-95.779	eV for the cell shown

PaNb2Si | PBE-GGA | relaxed

Unit cell a=2.9851 b=2.9851 c=29.8215 alpha=90.00 beta=90.00 gamma=120.00
Space group R-3m (No. 166, hexagonal axes)
One atom of each set of equivalent atoms:
1 Pa 0.0000 0.0000 0.0000 (multiplicity 3)
2 Nb 0.0000 0.0000 0.0954 (multiplicity 6)
3 Si 0.0000 0.0000 0.5000 (multiplicity 3)

crystal system	trigonal
E_tot	-102.306	eV for the cell shown

PaNb2Si4 | PBE-GGA | relaxed

Unit cell a=3.632 b=3.776 c=17.181 alpha=90.00 beta=90.00 gamma=90.00
Space group Immm (No. 71)
One atom of each set of equivalent atoms:
1 Pa 0.000 0.000 0.000 (multiplicity 2)
2 Nb 0.000 0.500 0.191 (multiplicity 4)
3 Si 0.000 0.000 0.427 (multiplicity 4)
4 Si 0.000 0.500 0.344 (multiplicity 4)

crystal system	orthorhombic
E_tot	-109.544	eV for the cell shown

Pa2NbSi | PBE-GGA | relaxed

Unit cell a=7.033 b=7.033 c=7.033 alpha=90.00 beta=90.00 gamma=90.00
Space group Fm-3m (No. 225)
One atom of each set of equivalent atoms:
1 Pa 0.250 0.250 0.250 (multiplicity 8)
2 Nb 0.000 0.000 0.000 (multiplicity 4)
3 Si 0.000 0.000 0.500 (multiplicity 4)

crystal system	cubic
E_tot	-136.673	eV for the cell shown